# 1
{"formula": "Dy3Y2Ho3", "functional": "GGA-PBE", "state": "relaxed", "cell": [[5.010, 0.000, 0.000], [0.000, 5.010, 0.001], [-2.505, -2.504, 10.029]], "species": ["Ho", "Ho", "Ho", "Y", "Y", "Dy", "Dy", "Dy"], "fractional_positions": [[0.124, 0.124, 0.248], [0.000, 0.500, 0.000], [0.876, 0.876, 0.752], [0.250, 0.750, 0.500], [0.750, 0.250, 0.500], [0.500, 0.000, 0.000], [0.624, 0.624, 0.248], [0.376, 0.376, 0.752]], "total_energy_ev_per_cell": -40.294, "spacegroup": "Immm, No. 71", "formation_energy_ev_per_atom": 0.022}

# 2
{"formula": "Dy2Y5Ho", "functional": "GGA-PBE", "state": "relaxed", "cell": [[-2.012, 3.845, -5.125], [-5.147, -6.984, 10.733], [2.240, 4.915, 7.964]], "species": ["Ho", "Ho", "Y", "Y", "Y", "Y", "Y", "Y", "Y", "Y", "Y", "Y", "Dy", "Dy", "Dy", "Dy"], "fractional_positions": [[0.043, 0.292, 0.208], [0.957, 0.708, 0.792], [0.666, 0.917, 0.334], [0.792, 0.043, 0.958], [0.208, 0.957, 0.042], [0.415, 0.666, 0.085], [0.541, 0.792, 0.710], [0.708, 0.458, 0.541], [0.292, 0.542, 0.459], [0.585, 0.334, 0.915], [0.459, 0.208, 0.290], [0.334, 0.083, 0.666], [0.917, 0.167, 0.582], [0.083, 0.833, 0.418], [0.169, 0.417, 0.834], [0.831, 0.583, 0.166]], "total_energy_ev_per_cell": -92.146, "spacegroup": "P-1, No. 2", "formation_energy_ev_per_atom": 0.004}

# 3
{"formula": "Dy2YHo3", "functional": "GGA-PBE", "state": "relaxed", "cell": [[-1.016, 2.727, 2.159], [-9.577, -5.355, 2.259], [9.400, -2.943, 5.099]], "species": ["Dy", "Dy", "Dy", "Dy", "Ho", "Ho", "Ho", "Ho", "Ho", "Ho", "Y", "Y"], "fractional_positions": [[0.944, 0.818, 0.889], [0.723, 0.347, 0.445], [0.277, 0.653, 0.555], [0.056, 0.182, 0.111], [0.722, 0.847, 0.443], [0.055, 0.679, 0.110], [0.278, 0.153, 0.557], [0.945, 0.321, 0.890], [0.389, 0.513, 0.778], [0.611, 0.487, 0.222], [0.389, 0.014, 0.778], [0.611, 0.986, 0.222]], "total_energy_ev_per_cell": -58.756, "spacegroup": "C2/m, No. 12", "formation_energy_ev_per_atom": 0.004}

# 4
{"formula": "Dy2Y5Ho12", "functional": "GGA-PBE", "state": "relaxed", "cell": [[-0.837, 2.047, 5.576], [0.847, -9.065, 3.272], [9.963, 6.407, -2.177]], "species": ["Y", "Y", "Y", "Y", "Y", "Ho", "Ho", "Ho", "Ho", "Ho", "Ho", "Ho", "Ho", "Ho", "Ho", "Ho", "Ho", "Dy", "Dy"], "fractional_positions": [[0.500, 0.379, 0.332], [0.896, 0.306, 0.844], [0.500, 0.621, 0.668], [0.000, 0.000, 0.500], [0.104, 0.694, 0.156], [0.959, 0.342, 0.156], [0.574, 0.923, 0.604], [0.041, 0.658, 0.844], [0.428, 0.332, 0.013], [0.164, 0.955, 0.773], [0.384, 0.307, 0.713], [0.073, 0.642, 0.457], [0.927, 0.358, 0.543], [0.836, 0.045, 0.227], [0.616, 0.693, 0.287], [0.572, 0.668, 0.987], [0.426, 0.077, 0.396], [0.718, 0.987, 0.920], [0.282, 0.013, 0.080]], "total_energy_ev_per_cell": -94.186, "spacegroup": "P-1, No. 2", "formation_energy_ev_per_atom": 0.120}

# 5
{"formula": "DyY2Ho", "functional": "GGA-PBE", "state": "relaxed", "cell": [[3.560, 0.722, -0.010], [1.881, 8.983, -0.488], [-2.664, -5.059, 4.463]], "species": ["Y", "Y", "Dy", "Ho"], "fractional_positions": [[0.167, 0.134, 0.418], [0.833, 0.634, 0.582], [0.165, 0.134, 0.916], [0.835, 0.634, 0.084]], "total_energy_ev_per_cell": -22.090, "spacegroup": "Pm, No. 6", "formation_energy_ev_per_atom": 0.004}

# 6
{"formula": "Dy7YHo4", "functional": "GGA-PBE", "state": "relaxed", "cell": [[6.625, 1.332, 0.611], [4.395, 7.210, 2.141], [-1.319, -0.554, 8.878]], "species": ["Dy", "Dy", "Dy", "Dy", "Dy", "Dy", "Dy", "Ho", "Ho", "Ho", "Ho", "Y"], "fractional_positions": [[0.265, 0.486, 0.051], [0.983, 0.313, 0.642], [0.705, 0.193, 0.386], [0.500, 0.000, 0.000], [0.017, 0.687, 0.358], [0.735, 0.514, 0.949], [0.295, 0.807, 0.614], [0.443, 0.359, 0.714], [0.557, 0.641, 0.286], [0.228, 0.160, 0.313], [0.772, 0.840, 0.687], [0.000, 0.000, 0.000]], "total_energy_ev_per_cell": -55.935, "spacegroup": "P-1, No. 2", "formation_energy_ev_per_atom": 0.088}

# 7
{"formula": "Dy3YHo4", "functional": "GGA-PBE", "state": "relaxed", "cell": [[-0.046, 4.340, 3.558], [-3.007, 1.176, -1.472], [-6.880, -9.183, 6.686]], "species": ["Dy", "Dy", "Dy", "Y", "Ho", "Ho", "Ho", "Ho"], "fractional_positions": [[0.845, 0.000, 0.690], [0.000, 0.500, 0.000], [0.155, 0.000, 0.310], [0.500, 0.000, 0.000], [0.396, 0.500, 0.792], [0.724, 0.501, 0.447], [0.604, 0.500, 0.208], [0.276, 0.499, 0.553]], "total_energy_ev_per_cell": -36.914, "spacegroup": "C2/m, No. 12", "formation_energy_ev_per_atom": 0.208}

# 8
{"formula": "Dy2Y5Ho2", "functional": "GGA-PBE", "state": "relaxed", "cell": [[11.608, 0.000, 0.000], [0.000, 6.842, 0.000], [-5.804, -3.421, 7.421]], "species": ["Y", "Y", "Y", "Y", "Y", "Y", "Y", "Y", "Y", "Y", "Dy", "Dy", "Dy", "Dy", "Ho", "Ho", "Ho", "Ho"], "fractional_positions": [[0.980, 0.650, 0.500], [0.616, 0.747, 0.715], [0.785, 0.766, 0.108], [0.823, 0.266, 0.108], [0.598, 0.247, 0.715], [0.215, 0.659, 0.892], [0.020, 0.150, 0.500], [0.384, 0.032, 0.285], [0.402, 0.532, 0.285], [0.177, 0.159, 0.892], [0.733, 0.874, 0.500], [0.500, 0.484, 0.000], [0.000, 0.984, 0.000], [0.267, 0.374, 0.500], [0.118, 0.691, 0.258], [0.882, 0.433, 0.742], [0.641, 0.191, 0.258], [0.359, 0.933, 0.742]], "total_energy_ev_per_cell": -97.013, "spacegroup": "Ima2, No. 46", "formation_energy_ev_per_atom": 0.241}

# 9
{"formula": "DyY12Ho5", "functional": "GGA-PBE", "state": "relaxed", "cell": [[15.086, -0.007, -0.013], [7.539, 7.553, -0.007], [0.004, 0.000, 5.025]], "species": ["Y", "Y", "Y", "Y", "Y", "Y", "Y", "Y", "Y", "Y", "Y", "Y", "Ho", "Ho", "Ho", "Ho", "Ho", "Dy"], "fractional_positions": [[0.665, 0.000, 0.000], [0.499, 0.333, 0.500], [0.832, 0.667, 0.500], [0.166, 0.000, 0.500], [0.501, 0.667, 0.500], [0.332, 0.666, 0.000], [0.001, 0.667, 0.000], [0.168, 0.333, 0.500], [0.335, 0.000, 0.000], [0.999, 0.333, 0.000], [0.668, 0.334, 0.000], [0.834, 0.000, 0.500], [0.500, 0.000, 0.500], [0.333, 0.333, 0.000], [0.667, 0.667, 0.000], [0.167, 0.667, 0.500], [0.833, 0.333, 0.500], [0.000, 0.000, 0.000]], "total_energy_ev_per_cell": -104.619, "spacegroup": "Cmmm, No. 65", "formation_energy_ev_per_atom": 0.024}

# 10
{"formula": "DyY3Ho4", "functional": "GGA-PBE", "state": "relaxed", "cell": [[3.446, 0.000, -0.435], [-0.171, 6.495, -1.358], [-0.262, -0.925, 11.794]], "species": ["Ho", "Ho", "Ho", "Ho", "Y", "Y", "Y", "Dy"], "fractional_positions": [[0.125, 0.368, 0.249], [0.875, 0.632, 0.751], [0.739, 0.243, 0.479], [0.261, 0.757, 0.521], [0.000, 0.500, 0.000], [0.874, 0.119, 0.749], [0.126, 0.881, 0.251], [0.500, 0.000, 0.000]], "total_energy_ev_per_cell": -40.944, "spacegroup": "C2/m, No. 12", "formation_energy_ev_per_atom": 0.170}

# 11
{"formula": "Dy3YHo2", "functional": "GGA-PBE", "state": "relaxed", "cell": [[-2.218, 1.476, -2.247], [-0.312, -8.632, -5.360], [-7.191, -1.100, 9.077]], "species": ["Dy", "Dy", "Dy", "Dy", "Dy", "Dy", "Ho", "Ho", "Ho", "Ho", "Y", "Y"], "fractional_positions": [[0.304, 0.286, 0.609], [0.559, 0.440, 0.119], [0.931, 0.233, 0.862], [0.069, 0.767, 0.138], [0.441, 0.560, 0.881], [0.696, 0.714, 0.391], [0.070, 0.138, 0.139], [0.930, 0.862, 0.861], [0.693, 0.373, 0.385], [0.307, 0.627, 0.615], [0.687, 0.039, 0.373], [0.313, 0.961, 0.627]], "total_energy_ev_per_cell": -57.365, "spacegroup": "C2/m, No. 12", "formation_energy_ev_per_atom": 0.124}

# 12
{"formula": "DyY2Ho9", "functional": "GGA-PBE", "state": "relaxed", "cell": [[4.999, 0.000, 0.000], [0.000, 4.999, 0.000], [0.000, 0.000, 15.001]], "species": ["Y", "Y", "Dy", "Ho", "Ho", "Ho", "Ho", "Ho", "Ho", "Ho", "Ho", "Ho"], "fractional_positions": [[0.000, 0.000, 0.333], [0.000, 0.000, 0.667], [0.000, 0.000, 0.000], [0.500, 0.500, 0.000], [0.000, 0.500, 0.834], [0.500, 0.500, 0.333], [0.000, 0.500, 0.500], [0.500, 0.000, 0.166], [0.500, 0.000, 0.834], [0.500, 0.500, 0.667], [0.000, 0.500, 0.166], [0.500, 0.000, 0.500]], "total_energy_ev_per_cell": -58.452, "spacegroup": "P4/mmm, No. 123", "formation_energy_ev_per_atom": 0.023}